Density functional theory data (PBE-GGA) for a relaxed structure of LaP3C.

The total energy is -3.66 eV per atom. The excess energy over the best structure of this formula in the dataset is 2088 meV per atom. For the volume, the calculation gives 161 Å³/cell. For the mass density, the calculation gives 2.51 Mg/m³. Its calculated formation energy is 2.417 eV per atom. For the magnetic moment, the calculation gives 0.00 μB/atom.

The structure belongs to space group Pm-3m (No. 221); the cell edges are 5.441, 5.441 and 5.441 Å and the angles 90.00°, 90.00° and 90.00°. The distinct sites, in fractional coordinates, are La at (0.000, 0.000, 0.000), P at (0.000, 0.000, 0.500) and C at (0.500, 0.500, 0.500).